This record from the Alexandria database describes a relaxed K5Sr3H12 crystal. The functional is PBE.

Structure (CIF):
```
data_K5Sr3H12
_chemical_formula_sum 'K40 Sr24 H96'
_cell_length_a 14.798
_cell_length_b 14.798
_cell_length_c 14.798
_cell_angle_alpha 90.00
_cell_angle_beta 90.00
_cell_angle_gamma 90.00
_symmetry_space_group_name_H-M 'I a -3 d'
_symmetry_Int_Tables_number 230
_symmetry_space_group_name_Hall '-I 4bd 2c 3'
loop_
_atom_site_label
_atom_site_type_symbol
_atom_site_fract_x
_atom_site_fract_y
_atom_site_fract_z
K1 K 0.000 0.000 0.000
K2 K 0.000 0.250 0.375
Sr1 Sr 0.000 0.250 0.125
H1 H 0.012 0.081 0.658
```

**Magnetic moment**: 7.89 Bohr magnetons per cell
**Raw total energy**: -2.676 eV per atom
**V**: 3240.4 Å³/cell